A geometry-optimized HfGeOs structure, computed with GGA-PBE.

Cell lengths 6.7267, 6.7267, 3.8018 Å; angles 90.00, 90.00, 120.00 degrees
Closest atoms and distances in Å follow each position.
Atoms (fractional coordinates):
Hf1 0.0000 0.4185 0.0000  5 Ge 2.77-2.82, 6 Os 2.95-3.10
Hf2 0.4185 0.0000 0.0000  5 Ge 2.77-2.82, 6 Os 2.95-3.10
Hf3 0.5815 0.5815 0.0000  5 Ge 2.77-2.82, 6 Os 2.95-3.10
Ge1 0.0000 0.0000 0.0000  6 Os 2.52, 3 Hf 2.82
Ge2 0.3333 0.6667 0.5000  3 Os 2.59, 6 Hf 2.77
Ge3 0.6667 0.3333 0.5000  3 Os 2.59, 6 Hf 2.77
Os1 0.0000 0.7538 0.5000  4 Ge 2.52-2.59
Os2 0.2462 0.2462 0.5000  4 Ge 2.52-2.59
Os3 0.7538 0.0000 0.5000  4 Ge 2.52-2.59

Properties
- symmetry = P-62m, No. 189

A geometry-optimized HfGeOs structure, computed with GGA-PBE.

Cell lengths 5.6976, 5.6976, 6.9317 Å; angles 121.87, 121.87, 33.10 degrees
Closest atoms and distances in Å follow each position.
Atoms (fractional coordinates):
Hf1 0.0846 0.0846 0.3095  4 Os 2.77-2.88, 5 Ge 2.82-3.03
Hf2 0.9154 0.9154 0.6905  4 Os 2.77-2.88, 5 Ge 2.82-3.03
Ge1 0.3519 0.3519 0.3142  3 Os 2.54-2.55, 1 Ge 2.81, 2 Hf 2.82
Ge2 0.6481 0.6481 0.6858  3 Os 2.54-2.55, 1 Ge 2.81, 2 Hf 2.82
Os1 0.3539 0.3539 0.9500  3 Ge 2.54-2.55, 2 Hf 2.77
Os2 0.6461 0.6461 0.0500  3 Ge 2.54-2.55, 2 Hf 2.77

Properties
- symmetry = C2/m, No. 12

A geometry-optimized Hf2Ge3Os structure, computed with GGA-PBE.

Cell lengths 6.1366, 6.1366, 6.1366 Å; angles 141.63, 127.53, 66.85 degrees
Closest atoms and distances in Å follow each position.
Atoms (fractional coordinates):
Hf1 0.1785 0.1785 0.0000  6 Ge 2.69-2.73
Hf2 0.8215 0.8215 0.0000  6 Ge 2.69-2.73
Ge1 0.0000 0.5000 0.5000  2 Os 2.71, 4 Hf 2.72
Ge2 0.3527 0.8527 0.5000  2 Os 2.52, 4 Hf 2.69-2.73
Ge3 0.6473 0.1473 0.5000  2 Os 2.52, 4 Hf 2.69-2.73
Os1 0.5000 0.5000 0.0000  6 Ge 2.52-2.71

Properties
- symmetry = Immm, No. 71

A geometry-optimized Hf2GeOs2 structure, computed with GGA-PBE.

Cell lengths 7.7516, 7.7516, 3.1237 Å; angles 90.00, 90.00, 90.00 degrees
Closest atoms and distances in Å follow each position.
Atoms (fractional coordinates):
Hf1 0.1497 0.3503 0.0000  6 Os 2.75-2.76, 2 Ge 2.95
Hf2 0.3503 0.8503 0.0000  6 Os 2.75-2.76, 2 Ge 2.95
Hf3 0.6497 0.1497 0.0000  6 Os 2.75-2.76, 2 Ge 2.95
Hf4 0.8503 0.6497 0.0000  6 Os 2.75-2.76, 2 Ge 2.95
Ge1 0.0000 0.0000 0.0000  4 Hf 2.95, 2 Ge 3.12
Ge2 0.5000 0.5000 0.0000  4 Hf 2.95, 2 Ge 3.12
Os1 0.1437 0.6437 0.5000  6 Hf 2.75-2.76
Os2 0.3563 0.1437 0.5000  6 Hf 2.75-2.76
Os3 0.6437 0.8563 0.5000  6 Hf 2.75-2.76
Os4 0.8563 0.3563 0.5000  6 Hf 2.75-2.76

Properties
- relative energy among the computed polymorphs (meV/atom) = 204.7
- symmetry = P4/mbm, No. 127

| no. | V (Å³ per atom) | formation enthalpy at 0 K (kJ/mol of atoms) |
| --- | --- | --- |
| 1 | 16.55 | -58.0 |
| 2 | 17.09 | -36.1 |
| 3 | 18.68 | -9.0 |
| 4 | 18.77 | 6.1 |